Here is a PBEsol-optimized structure of GaNiTeN2 from the Alexandria database. Energies are from SCAN. Values from VASP.

```
&SYSTEM
  ibrav = 0, nat = 5, ntyp = 4
/
ATOMIC_SPECIES
Ga 69.72 Ga.upf
Ni 58.69 Ni.upf
Te 127.60 Te.upf
N 14.01 N.upf
ATOMIC_POSITIONS angstrom
Ga 0.000 0.000 0.000
Ni 1.891 1.891 2.612
Te 1.891 1.891 0.000
N 0.000 1.891 2.612
N 1.891 0.000 2.612
CELL_PARAMETERS angstrom
3.783 0.000 0.000
0.000 3.783 0.000
0.000 0.000 5.225
```

DOS(E_F): 2.1 states/eV/cell
Formation energy from raw total energies: 1.05 eV per atom
Total DFT energy (no corrections): -16.62 eV/atom
Symmetry: No. 123
Mass density: 6308 kg/m³
Magnetization: 3.38 μB/cell